# 1
Compound: LuPuBe4
Source: the Alexandria database
Functional: PBE
Structure: optimized geometry

* uncorrected energy: -33.041 eV per formula unit
* total magnetization: 0.824 μB per atom

Lattice parameters (Å, degrees): 4.933 4.933 4.933 60.00 60.00 60.00
Each line ends with the local moment (μB).
Atoms (fractional coordinates):
1 Be 0.624 0.624 0.128  0.03
2 Be 0.624 0.128 0.624  0.03
3 Be 0.624 0.624 0.624  0.03
4 Be 0.128 0.624 0.624  0.03
5 Lu 0.250 0.250 0.250  -0.03
6 Pu 0.000 0.000 0.000  -5.01

# 2
Compound: LuPuBeZn
Source: the Alexandria database
Functional: PBE
Structure: optimized geometry

* uncorrected energy: -23.716 eV per formula unit
* total magnetization: 1.498 μB per atom

Lattice parameters (Å, degrees): 4.870 4.870 4.870 60.00 60.00 60.00
Each line ends with the local moment (μB).
Atoms (fractional coordinates):
1 Be 0.750 0.750 0.750  -0.01
2 Zn 0.250 0.250 0.250  -0.05
3 Lu 0.500 0.500 0.500  -0.23
4 Pu 0.000 0.000 0.000  -5.31

# 3
Compound: LuZrBeRe
Source: the Alexandria database
Functional: PBE
Structure: optimized geometry

* uncorrected energy: -29.312 eV per formula unit
* total magnetization: 0.000 μB per atom

Lattice parameters (Å, degrees): 4.685 4.685 4.685 60.00 60.00 60.00
Atoms (fractional coordinates):
1 Re 0.500 0.500 0.500
2 Lu 0.250 0.250 0.250
3 Zr 0.750 0.750 0.750
4 Be 0.000 0.000 0.000

# 4
Compound: LuScBeRh
Source: the Alexandria database
Functional: PBE
Structure: optimized geometry

* uncorrected energy: -23.804 eV per formula unit
* total magnetization: 0.000 μB per atom

Lattice parameters (Å, degrees): 4.645 4.645 4.645 60.00 60.00 60.00
Atoms (fractional coordinates):
1 Sc 0.000 0.000 0.000
2 Be 0.750 0.750 0.750
3 Lu 0.500 0.500 0.500
4 Rh 0.250 0.250 0.250

Number 1: formation enthalpy at 0 K 120 meV/atom. Number 2: formation enthalpy at 0 K 34 meV/atom. Number 3: formation enthalpy at 0 K -17 meV/atom. Number 4: formation enthalpy at 0 K -468 meV/atom.